(1)
7
Lattice="-2.3151 2.3151 6.8286 2.3151 -2.3151 6.8286 2.3151 2.3151 -6.8286" Properties=species:S:1:pos:R:3 comment="GGA-PBE NaSn2Pd4, relaxed" formation_energy_ev_per_atom=0.2530 sg="I4/mmm (139)" magmom_total_mub_per_fu=0.00 polymorph_energy_ev_per_atom=0.685 pbc="T T T"
Na 0.0000 0.0000 0.0000
Sn 0.0000 0.0000 5.1541
Sn 0.0000 0.0000 8.5032
Pd 2.3151 0.0000 0.0000
Pd 0.0000 0.0000 2.5987
Pd 0.0000 2.3151 0.0000
Pd 0.0000 0.0000 11.0586

(2)
12
Lattice="2.5140 -10.0728 0.0000 2.5140 10.0728 0.0000 0.0000 0.0000 6.5284" Properties=species:S:1:pos:R:3 comment="GGA-PBE NaSn4Pd, relaxed" formation_energy_ev_per_atom=-0.1431 sg="Cmcm (63)" magmom_total_mub_per_fu=0.00 pbc="T T T"
Na 2.5140 7.7003 4.8963
Na 2.5140 -7.7003 1.6321
Sn 2.5140 8.9949 1.6321
Sn 2.5140 4.2484 0.1197
Sn 2.5140 4.2484 3.1445
Sn 2.5140 0.0000 0.0000
Sn 2.5140 0.0000 3.2642
Sn 2.5140 -4.2484 3.3839
Sn 2.5140 -4.2484 6.4087
Sn 2.5140 -8.9949 4.8963
Pd 2.5140 2.2403 4.8963
Pd 2.5140 -2.2403 1.6321

(3)
8
Lattice="4.3876 0.0000 0.0000 0.0000 4.4567 5.3300 0.0000 -4.4567 5.3300" Properties=species:S:1:pos:R:3 comment="GGA-PBE NaSn6Pd, relaxed" formation_energy_ev_per_atom=-0.1340 sg="Amm2 (38)" magmom_total_mub_per_fu=0.00 pbc="T T T"
Na 0.0000 0.0000 0.0000
Sn 0.0000 -2.1639 2.7006
Sn 0.0000 2.1639 2.7006
Sn 2.1938 0.0000 2.4515
Sn 2.1938 -1.6346 5.3128
Sn 2.1938 1.6346 5.3128
Sn 2.1938 0.0000 8.2270
Pd 0.0000 0.0000 6.3602

(4)
8
Lattice="8.0206 0.0000 0.0000 -4.0103 6.9460 0.0000 0.0000 0.0000 3.1820" Properties=species:S:1:pos:R:3 comment="GGA-PBE Na3Sn3Pd2, relaxed" formation_energy_ev_per_atom=-0.2796 sg="P-62m (189)" magmom_total_mub_per_fu=0.00 pbc="T T T"
Na -3.0440 5.2723 0.0000
Na 0.9663 1.6737 0.0000
Na 6.0879 0.0000 0.0000
Sn -1.6071 2.7835 1.5910
Sn 3.2142 0.0000 1.5910
Sn 2.4032 4.1625 1.5910
Pd 0.0000 4.6307 0.0000
Pd 4.0103 2.3153 0.0000